Entry 1:
Crystalline AlHgPd2C at its relaxed geometry, computed with PBE.

- DFT total energy: -4.62 eV/atom
- E_form: 11 kJ per mole of atoms
- Magnetization: 0.00 μB/f.u.
- Space group: No. 123
- D(E_F): 0.16 states/eV per atom

Cell lengths 4.4078, 4.4078, 3.8381 Å; angles 90.00, 90.00, 90.00 degrees
With the nearest neighbours (Å) after each atom.
Fractional positions:
Al: 0.0000 0.0000 0.0000  2 C 1.92
Hg: 0.5000 0.5000 0.0000  8 Pd 2.92, 4 Al 3.12
Pd: 0.0000 0.5000 0.5000  2 C 2.20
Pd: 0.5000 0.0000 0.5000  2 C 2.20
C: 0.0000 0.0000 0.5000  2 Al 1.92



Entry 2:
Crystalline RbAlHg2C at its relaxed geometry, computed with PBE.

- DFT total energy: -1.76 eV/atom
- E_form: 111 kJ per mole of atoms
- Magnetization: 0.38 μB/f.u.
- Space group: No. 123
- D(E_F): 0.64 states/eV per atom

Cell lengths 4.8187, 4.8187, 5.7403 Å; angles 90.00, 90.00, 90.00 degrees
With the nearest neighbours (Å) after each atom.
Fractional positions:
Rb: 0.0000 0.0000 0.0000  2 C 2.87
Al: 0.5000 0.5000 0.0000  4 Rb 3.41, 8 Hg 3.75
Hg: 0.0000 0.5000 0.5000  2 C 2.41
Hg: 0.5000 0.0000 0.5000  2 C 2.41
C: 0.0000 0.0000 0.5000  4 Hg 2.41



Entry 3:
Crystalline Al2SiHgC at its relaxed geometry, computed with PBE.

- DFT total energy: -3.60 eV/atom
- Magnetization: 0.00 μB/f.u.
- Space group: No. 123
- D(E_F): 0.53 states/eV per atom

Cell lengths 5.1597, 5.1597, 3.5489 Å; angles 90.00, 90.00, 90.00 degrees
With the nearest neighbours (Å) after each atom.
Fractional positions:
Al: 0.0000 0.5000 0.0000  2 Si 2.58
Al: 0.5000 0.0000 0.0000  2 Si 2.58
Si: 0.0000 0.0000 0.0000  2 C 1.77
Hg: 0.5000 0.5000 0.5000  8 Al 3.13
C: 0.0000 0.0000 0.5000  2 Si 1.77



Entry 4:
Crystalline AlSnHg2C at its relaxed geometry, computed with PBE.

- DFT total energy: -2.49 eV/atom
- E_form: 99 kJ per mole of atoms
- Magnetization: 0.00 μB/f.u.
- Space group: No. 123
- D(E_F): 0.45 states/eV per atom

Cell lengths 4.8112, 4.8112, 4.7637 Å; angles 90.00, 90.00, 90.00 degrees
With the nearest neighbours (Å) after each atom.
Fractional positions:
Al: 0.0000 0.0000 0.0000  8 Hg 3.39, 4 Sn 3.40
Sn: 0.5000 0.5000 0.0000  2 C 2.38
Hg: 0.0000 0.5000 0.5000  2 C 2.41
Hg: 0.5000 0.0000 0.5000  2 C 2.41
C: 0.5000 0.5000 0.5000  2 Sn 2.38, 4 Hg 2.41



Entry 5:
Crystalline Tm4AlHgC at its relaxed geometry, computed with PBE.

- DFT total energy: -4.77 eV/atom
- E_form: -31 kJ per mole of atoms
- Magnetization: 0.00 μB/f.u.
- Space group: No. 63
- D(E_F): 0.96 states/eV per atom

Cell lengths 8.0740, 8.0740, 6.7923 Å; angles 90.00, 90.00, 130.22 degrees
With the nearest neighbours (Å) after each atom.
Fractional positions:
Tm: 0.0000 0.5000 0.0000  2 C 2.40
Tm: 0.0000 0.5000 0.5000  2 C 2.40
Tm: 0.0835 0.9165 0.7500  1 C 2.44
Tm: 0.4163 0.5837 0.7500  1 C 2.44
Tm: 0.5000 0.0000 0.0000  2 C 2.40
Tm: 0.5000 0.0000 0.5000  2 C 2.40
Tm: 0.5837 0.4163 0.2500  1 C 2.44
Tm: 0.9165 0.0835 0.2500  1 C 2.44
Al: 0.3779 0.6221 0.2500  5 Tm 3.01-3.05
Al: 0.6221 0.3779 0.7500  5 Tm 3.01-3.05
Hg: 0.1180 0.8820 0.2500  5 Tm 2.95-3.08
Hg: 0.8820 0.1180 0.7500  5 Tm 2.95-3.08
C: 0.2500 0.7500 0.7500  6 Tm 2.40-2.44
C: 0.7500 0.2500 0.2500  6 Tm 2.40-2.44



Entry 6:
Crystalline AlV2HgC at its relaxed geometry, computed with PBE.

- DFT total energy: -4.85 eV/atom
- E_form: 140 kJ per mole of atoms
- Magnetization: 6.74 μB/f.u.
- Space group: No. 123
- D(E_F): 0.92 states/eV per atom

Cell lengths 5.0410, 5.0410, 3.7009 Å; angles 90.00, 90.00, 90.00 degrees
With the nearest neighbours (Å) after each atom.
Fractional positions:
Al: 0.0000 0.0000 0.0000  2 C 1.85
V: 0.0000 0.5000 0.0000  2 Al 2.52
V: 0.5000 0.0000 0.0000  2 Al 2.52
Hg: 0.5000 0.5000 0.5000  8 V 3.13
C: 0.0000 0.0000 0.5000  2 Al 1.85



Entry 7:
Crystalline ZrAl2HgC at its relaxed geometry, computed with PBE.

- DFT total energy: -4.01 eV/atom
- E_form: 106 kJ per mole of atoms
- Magnetization: 0.00 μB/f.u.
- Space group: No. 123
- D(E_F): 0.73 states/eV per atom

Cell lengths 5.4962, 5.4962, 4.1944 Å; angles 90.00, 90.00, 90.00 degrees
With the nearest neighbours (Å) after each atom.
Fractional positions:
Zr: 0.0000 0.0000 0.0000  2 C 2.10
Al: 0.0000 0.5000 0.0000  2 Zr 2.75
Al: 0.5000 0.0000 0.0000  2 Zr 2.75
Hg: 0.5000 0.5000 0.5000  8 Al 3.46
C: 0.0000 0.0000 0.5000  2 Zr 2.10



Entry 8:
Crystalline HoAl3C3 at its relaxed geometry, computed with PBE.

- DFT total energy: -6.52 eV/atom
- E_form: -29 kJ per mole of atoms
- Magnetization: 0.00 μB/f.u.
- Space group: No. 194
- D(E_F): 0.06 states/eV per atom

Cell lengths 3.4290, 3.4290, 17.2849 Å; angles 90.00, 90.00, 120.00 degrees
With the nearest neighbours (Å) after each atom.
Fractional positions:
Ho: 0.0000 0.0000 0.0000  6 C 2.54
Ho: 0.0000 0.0000 0.5000  6 C 2.54
Al: 0.3333 0.6667 0.1332  4 C 2.02-2.10
Al: 0.3333 0.6667 0.3668  4 C 2.02-2.10
Al: 0.3333 0.6667 0.7500  3 C 1.98
Al: 0.6667 0.3333 0.2500  3 C 1.98
Al: 0.6667 0.3333 0.6332  4 C 2.02-2.10
Al: 0.6667 0.3333 0.8668  4 C 2.02-2.10
C: 0.3333 0.6667 0.2500  5 Al 1.98-2.02
C: 0.3333 0.6667 0.5924  3 Al 2.10
C: 0.3333 0.6667 0.9076  3 Al 2.10
C: 0.6667 0.3333 0.0924  3 Al 2.10
C: 0.6667 0.3333 0.4076  3 Al 2.10
C: 0.6667 0.3333 0.7500  5 Al 1.98-2.02



Entry 9:
Crystalline Ho2AlC at its relaxed geometry, computed with PBE.

- DFT total energy: -5.54 eV/atom
- E_form: -1 kJ per mole of atoms
- Magnetization: 0.00 μB/f.u.
- Space group: No. 166
- D(E_F): 0.67 states/eV per atom

Cell lengths 9.1383, 9.1383, 9.1383 Å; angles 22.05, 22.05, 22.05 degrees
With the nearest neighbours (Å) after each atom.
Fractional positions:
Ho: 0.1171 0.1171 0.1171  3 C 2.41
Ho: 0.8829 0.8829 0.8829  3 C 2.41
Al: 0.0000 0.0000 0.0000  2 Ho 3.13, 6 Al 3.50
C: 0.5000 0.5000 0.5000  6 Ho 2.41



Entry 10:
Crystalline Ho3AlC at its relaxed geometry, computed with PBE.

- DFT total energy: -5.75 eV/atom
- E_form: -40 kJ per mole of atoms
- Magnetization: 0.00 μB/f.u.
- Space group: No. 221
- D(E_F): 0.34 states/eV per atom

Cell lengths 4.8564, 4.8564, 4.8564 Å; angles 90.00, 90.00, 90.00 degrees
With the nearest neighbours (Å) after each atom.
Fractional positions:
Ho: 0.0000 0.0000 0.5000  2 C 2.43
Ho: 0.0000 0.5000 0.0000  2 C 2.43
Ho: 0.5000 0.0000 0.0000  2 C 2.43
Al: 0.5000 0.5000 0.5000  12 Ho 3.43
C: 0.0000 0.0000 0.0000  6 Ho 2.43



Entry 11:
Crystalline Ho8AlC4 at its relaxed geometry, computed with PBE.

- DFT total energy: -6.21 eV/atom
- E_form: -25 kJ per mole of atoms
- Magnetization: 0.00 μB/f.u.
- Space group: No. 12
- D(E_F): 0.76 states/eV per atom

Cell lengths 8.8573, 8.8573, 11.8632 Å; angles 130.65, 130.65, 23.44 degrees
With the nearest neighbours (Å) after each atom.
Fractional positions:
Ho: 0.0421 0.0421 0.2367  3 C 2.45-2.49
Ho: 0.2997 0.2997 0.4358  3 C 2.44-2.50
Ho: 0.3386 0.3386 0.1639  3 C 2.46
Ho: 0.3660 0.3660 0.9081  3 C 2.47
Ho: 0.6340 0.6340 0.0919  3 C 2.47
Ho: 0.6614 0.6614 0.8361  3 C 2.46
Ho: 0.7003 0.7003 0.5642  3 C 2.44-2.50
Ho: 0.9579 0.9579 0.7633  3 C 2.45-2.49
Al: 0.0000 0.0000 0.5000  10 Ho 3.48-3.65, 2 Al 3.60
C: 0.1493 0.1493 0.9655  6 Ho 2.46-2.49
C: 0.3326 0.3326 0.6704  6 Ho 2.44-2.50
C: 0.6674 0.6674 0.3296  6 Ho 2.44-2.50
C: 0.8507 0.8507 0.0345  6 Ho 2.46-2.49



Entry 12:
Crystalline Ho2Al2C3 at its relaxed geometry, computed with PBE.

- DFT total energy: -6.59 eV/atom
- E_form: -25 kJ per mole of atoms
- Magnetization: 0.00 μB/f.u.
- Space group: No. 12
- D(E_F): 0.03 states/eV per atom

Cell lengths 5.6948, 5.6948, 5.6572 Å; angles 107.78, 107.78, 35.62 degrees
With the nearest neighbours (Å) after each atom.
Fractional positions:
Ho: 0.1158 0.1158 0.2938  3 C 2.42-2.46
Ho: 0.8842 0.8842 0.7062  3 C 2.42-2.46
Al: 0.3477 0.3477 0.1180  3 C 1.97-2.04
Al: 0.6523 0.6523 0.8820  3 C 1.97-2.04
C: 0.1995 0.1995 0.7446  3 Al 2.04-2.21
C: 0.5000 0.5000 0.0000  2 Al 1.97
C: 0.8005 0.8005 0.2554  3 Al 2.04-2.21



Entry 13:
Crystalline HoMn2Al2C at its relaxed geometry, computed with PBE.

- DFT total energy: -6.93 eV/atom
- E_form: -32 kJ per mole of atoms
- Magnetization: 1.80 μB/f.u.
- Space group: No. 123
- D(E_F): 0.42 states/eV per atom

Cell lengths 3.9135, 3.9135, 5.5588 Å; angles 90.00, 90.00, 90.00 degrees
With the nearest neighbours (Å) after each atom.
Fractional positions:
Ho: 0.0000 0.0000 0.0000  2 C 2.78, 8 Al 3.05
Mn: 0.0000 0.5000 0.5000  2 C 1.96
Mn: 0.5000 0.0000 0.5000  2 C 1.96
Al: 0.5000 0.5000 0.2321  4 Mn 2.46, 1 Al 2.58
Al: 0.5000 0.5000 0.7679  4 Mn 2.46, 1 Al 2.58
C: 0.0000 0.0000 0.5000  4 Mn 1.96